1.
ReAsBr2 (PBE-GGA, relaxed); symmetry = P4mm, No. 99; ΔE_f (raw) = 1.6 eV per formula unit; polymorph energy (0 for the lowest one) = 249.1 meV per atom
1.0
-0.632 1.920 -2.320
-2.608 -1.534 -0.559
-4.636 5.701 5.983
Re As Br
1 1 2
direct
0.000 0.000 0.515
0.500 0.500 0.672
0.500 0.500 0.331
0.000 0.000 0.983

=====

2.
ReAsBr2 (PBE-GGA, relaxed); symmetry = Pm, No. 6; ΔE_f (raw) = 0.6 eV per formula unit; polymorph energy (0 for the lowest one) = 0.0 meV per atom
1.0
-0.048 -2.921 -1.331
2.881 -2.424 5.214
-3.957 -2.159 4.881
Br As Re
2 1 1
direct
0.000 0.064 0.974
0.500 0.404 0.296
0.500 0.650 0.628
0.000 0.382 0.602